# 1
The following is a PBE with a Hubbard U calculation of a geometry-optimized Rb2CdNi3F12 structure, from Alexandria.

Cell: 7.303 7.303 7.303 Å, 60.81 60.81 60.81°
Fractional coordinates of all 18 atoms:
Rb: 0.117 0.117 0.117
Rb: 0.883 0.883 0.883
Cd: 0.500 0.500 0.500
Ni: 0.000 0.500 0.500
Ni: 0.500 0.000 0.500
Ni: 0.500 0.500 0.000
F: 0.126 0.599 0.599
F: 0.198 0.198 0.589
F: 0.198 0.589 0.198
F: 0.401 0.401 0.874
F: 0.401 0.874 0.401
F: 0.411 0.802 0.802
F: 0.589 0.198 0.198
F: 0.599 0.126 0.599
F: 0.599 0.599 0.126
F: 0.802 0.411 0.802
F: 0.802 0.802 0.411
F: 0.874 0.401 0.401

---

# 2
The following is a PBE with a Hubbard U calculation of a geometry-optimized CdNiRhF6 structure, from Alexandria.

Cell: 5.426 5.426 9.658 Å, 90.00 90.00 120.00°
Fractional coordinates of all 18 atoms:
Cd: 0.000 0.000 0.000
Cd: 0.000 0.000 0.500
Ni: 0.333 0.667 0.250
Ni: 0.667 0.333 0.750
Rh: 0.333 0.667 0.750
Rh: 0.667 0.333 0.250
F: 0.018 0.355 0.134
F: 0.018 0.663 0.366
F: 0.337 0.355 0.366
F: 0.337 0.982 0.134
F: 0.355 0.018 0.634
F: 0.355 0.337 0.866
F: 0.645 0.663 0.134
F: 0.645 0.982 0.366
F: 0.663 0.018 0.866
F: 0.663 0.645 0.634
F: 0.982 0.337 0.634
F: 0.982 0.645 0.866

---

# 3
The following is a PBE with a Hubbard U calculation of a geometry-optimized CdNi2SnF structure, from Alexandria.

Cell: 4.818 4.818 4.181 Å, 90.00 90.00 90.00°
Fractional coordinates of all 5 atoms:
Cd: 0.000 0.000 0.000
Ni: 0.000 0.500 0.000
Ni: 0.500 0.000 0.000
Sn: 0.500 0.500 0.500
F: 0.000 0.000 0.500

---

# 4
The following is a PBE with a Hubbard U calculation of a geometry-optimized Sr2CdNi3F12 structure, from Alexandria.

Cell: 6.906 6.906 6.906 Å, 62.05 62.05 62.05°
Fractional coordinates of all 18 atoms:
Sr: 0.115 0.115 0.115
Sr: 0.885 0.885 0.885
Cd: 0.500 0.500 0.500
Ni: 0.000 0.500 0.500
Ni: 0.500 0.000 0.500
Ni: 0.500 0.500 0.000
F: 0.074 0.645 0.645
F: 0.221 0.221 0.648
F: 0.221 0.648 0.221
F: 0.352 0.779 0.779
F: 0.355 0.355 0.926
F: 0.355 0.926 0.355
F: 0.645 0.074 0.645
F: 0.645 0.645 0.074
F: 0.648 0.221 0.221
F: 0.779 0.352 0.779
F: 0.779 0.779 0.352
F: 0.926 0.355 0.355

---

# 5
The following is a PBE with a Hubbard U calculation of a geometry-optimized TlCd2NiF structure, from Alexandria.

Cell: 4.637 4.637 5.104 Å, 90.00 90.00 90.00°
Fractional coordinates of all 5 atoms:
Tl: 0.000 0.000 0.000
Cd: 0.000 0.500 0.500
Cd: 0.500 0.000 0.500
Ni: 0.500 0.500 0.000
F: 0.000 0.000 0.500

---

# 6
The following is a PBE with a Hubbard U calculation of a geometry-optimized Tl2CdNiF6 structure, from Alexandria.

Cell: 6.089 8.611 6.095 Å, 90.00 90.00 90.00°
Fractional coordinates of all 20 atoms:
Tl: 0.250 0.000 0.250
Tl: 0.250 0.500 0.250
Tl: 0.750 0.000 0.750
Tl: 0.750 0.500 0.750
Cd: 0.250 0.250 0.750
Cd: 0.750 0.750 0.250
Ni: 0.250 0.750 0.750
Ni: 0.750 0.250 0.250
F: 0.013 0.750 0.513
F: 0.013 0.750 0.987
F: 0.250 0.513 0.749
F: 0.250 0.987 0.749
F: 0.487 0.750 0.513
F: 0.487 0.750 0.987
F: 0.513 0.250 0.013
F: 0.513 0.250 0.487
F: 0.750 0.013 0.251
F: 0.750 0.487 0.251
F: 0.987 0.250 0.013
F: 0.987 0.250 0.487

---

# 7
The following is a PBE with a Hubbard U calculation of a geometry-optimized ZnCdNi2F8 structure, from Alexandria.

Cell: 4.846 6.468 4.878 Å, 90.00 90.69 90.00°
Fractional coordinates of all 12 atoms:
Zn: 0.000 0.000 0.000
Cd: 0.000 0.500 0.000
Ni: 0.500 0.242 0.500
Ni: 0.500 0.758 0.500
F: 0.210 0.230 0.202
F: 0.210 0.770 0.202
F: 0.303 0.000 0.690
F: 0.318 0.500 0.674
F: 0.682 0.500 0.326
F: 0.697 0.000 0.310
F: 0.790 0.230 0.798
F: 0.790 0.770 0.798

---

# 8
The following is a PBE with a Hubbard U calculation of a geometry-optimized Zn2CdNiF8 structure, from Alexandria.

Cell: 6.008 6.008 6.008 Å, 110.07 110.07 108.29°
Fractional coordinates of all 12 atoms:
Zn: 0.000 0.000 0.000
Zn: 0.750 0.250 0.500
Cd: 0.250 0.750 0.500
Ni: 0.500 0.500 0.000
F: 0.146 0.442 0.704
F: 0.202 0.017 0.815
F: 0.202 0.387 0.185
F: 0.558 0.262 0.704
F: 0.558 0.854 0.296
F: 0.613 0.798 0.815
F: 0.738 0.442 0.296
F: 0.983 0.798 0.185

---

no.,size of the total moment (Bohr magnetons per cell),raw total energy (eV/atom)
1,8.00,-3.957
2,6.00,-4.211
3,0.00,-1.607
4,6.00,-4.567
5,0.00,-1.480
6,4.08,-3.983
7,3.98,-4.059
8,2.00,-3.866